No. 1
## LaSmNi6B2Pt2 (GGA-PBE)

Data for crystalline LaSmNi6B2Pt2 at its relaxed geometry.

Summary:
ΔE to the lowest computed polymorph ... 0.019 eV per atom
Mass density ... 10.53 g/cm3
Crystal system ... hexagonal

a b c (Å): 5.1737 5.1737 7.1663
angles (deg): 90.00 90.00 120.00
Fractional positions:
Ni  0.5000  0.5000  0.6952
Ni  0.5000  0.0000  0.6952
Pt  0.6667  0.3333  0.0000
Ni  0.0000  0.5000  0.6952
Ni  0.5000  0.0000  0.3048
B  0.6667  0.3333  0.5000
B  0.3333  0.6667  0.5000
La  0.0000  0.0000  0.5000
Pt  0.3333  0.6667  0.0000
Ni  0.0000  0.5000  0.3048
Sm  0.0000  0.0000  0.0000
Ni  0.5000  0.5000  0.3048

***

No. 2
## PrB2Ir3 (GGA-PBE)

Data for crystalline PrB2Ir3 at its relaxed geometry.

Summary:
Mass density ... 14.58 g/cm3
VASP energy ... -8.061 eV/atom
Crystal system ... hexagonal

a b c (Å): 5.5234 5.5234 3.1873
angles (deg): 90.03 90.03 120.01
Fractional positions:
Ir  0.0000  0.0000  0.0000
Ir  0.0000  0.5000  0.0000
B  0.1663  0.8337  0.5000
Ir  0.5000  0.0000  0.0000
Pr  0.5000  0.5000  0.5000
B  0.8337  0.1663  0.5000

***

No. 3
## AlBMo2 (GGA-PBE)

Data for crystalline AlBMo2 at its relaxed geometry.

Summary:
Mass density ... 6.95 g/cm3
VASP energy ... -8.311 eV/atom
Crystal system ... hexagonal

a b c (Å): 3.0857 3.0857 13.3122
angles (deg): 90.00 90.00 120.00
Fractional positions:
Mo  0.3333  0.6667  0.0924
Mo  0.6667  0.3333  0.5924
Mo  0.6667  0.3333  0.9076
Mo  0.3333  0.6667  0.4076
B  0.0000  0.0000  0.5000
Al  0.3333  0.6667  0.7500
B  0.0000  0.0000  0.0000
Al  0.6667  0.3333  0.2500

***

No. 4
## TbSmSi2Mo2C (GGA-PBE)

Data for crystalline TbSmSi2Mo2C at its relaxed geometry.

Summary:
Mass density ... 7.48 g/cm3
VASP energy ... -7.880 eV/atom
Crystal system ... monoclinic

a b c (Å): 5.9140 5.9140 7.2201
angles (deg): 123.53 123.53 38.06
Fractional positions:
Sm  0.4238  0.4238  0.7007
C  0.0015  0.0015  0.0050
Si  0.1324  0.1324  0.6666
Mo  0.7944  0.7944  0.9177
Tb  0.5743  0.5743  0.2958
Si  0.8676  0.8676  0.3314
Mo  0.2060  0.2060  0.0828